Density functional theory data (GGA-PBE) for Mg2ScSe after structural relaxation.

The uncorrected formation energy comes out at -0.44 eV per atom. For the volume, the calculation gives 20.9 Å³ per atom.

The space group is I-4m2 (No. 119) and the conventional cell measures 4.1988, 4.1988 and 9.4803 Å, with angles of 90.00, 90.00 and 90.00 degrees. The asymmetric unit holds Mg at (0.0000, 0.0000, 0.0000), Mg at (0.0000, 0.5000, 0.2500), Sc at (0.0000, 0.5000, 0.7500) and Se at (0.0000, 0.0000, 0.5000).